<one>
! DyInSn3 (PBE, relaxed); values from VASP
! total moment: 0.0 μB per formula unit
! Fermi-level density of states: 0.55 states/eV/atom
! mass density: 7.544 g cm⁻³
&SYSTEM
  ibrav = 0, nat = 20, ntyp = 3
/
ATOMIC_SPECIES
Dy 162.50 Dy.upf
In 114.82 In.upf
Sn 118.71 Sn.upf
CELL_PARAMETERS angstrom
10.479 0.000 0.000
0.000 6.391 0.000
0.000 0.000 8.328
ATOMIC_POSITIONS crystal
Dy 0.092 0.250 0.081
Dy 0.408 0.750 0.581
Dy 0.592 0.250 0.419
Dy 0.908 0.750 0.919
In 0.075 0.250 0.464
In 0.425 0.750 0.964
In 0.575 0.250 0.036
In 0.925 0.750 0.536
Sn 0.101 0.750 0.235
Sn 0.163 0.521 0.763
Sn 0.163 0.979 0.763
Sn 0.337 0.021 0.263
Sn 0.337 0.479 0.263
Sn 0.399 0.250 0.735
Sn 0.601 0.750 0.265
Sn 0.663 0.521 0.737
Sn 0.663 0.979 0.737
Sn 0.837 0.021 0.237
Sn 0.837 0.479 0.237
Sn 0.899 0.250 0.765


<two>
! DyInSn3 (PBE, relaxed); values from VASP
! total moment: 0.0 μB per formula unit
! Fermi-level density of states: 0.44 states/eV/atom
! mass density: 7.887 g cm⁻³
&SYSTEM
  ibrav = 0, nat = 20, ntyp = 3
/
ATOMIC_SPECIES
Dy 162.50 Dy.upf
In 114.82 In.upf
Sn 118.71 Sn.upf
CELL_PARAMETERS angstrom
13.309 0.000 0.000
0.000 6.270 0.000
0.000 0.000 6.393
ATOMIC_POSITIONS crystal
Dy 0.188 0.011 0.250
Dy 0.188 0.489 0.750
Dy 0.812 0.511 0.250
Dy 0.812 0.989 0.750
In 0.381 0.250 0.000
In 0.381 0.250 0.500
In 0.619 0.750 0.000
In 0.619 0.750 0.500
Sn 0.001 0.250 0.000
Sn 0.001 0.250 0.500
Sn 0.211 0.515 0.250
Sn 0.211 0.985 0.750
Sn 0.414 0.712 0.750
Sn 0.414 0.788 0.250
Sn 0.586 0.212 0.750
Sn 0.586 0.288 0.250
Sn 0.789 0.015 0.250
Sn 0.789 0.485 0.750
Sn 0.999 0.750 0.000
Sn 0.999 0.750 0.500


Which structure is the least stable? The one labeled <one>.